No. 1
Material: MgSnW2
Method: DFT, PBE-GGA
State: optimized geometry

## Properties
Total DFT energy (no corrections) ... -28.02 eV per formula unit
Energy above the most stable polymorph in this dataset ... 0.000 eV/f.u.
Energy of formation from the pure elements ... 0.87 eV/atom
Magnetic moment ... 0.00 μB per formula unit

a b c (Å): 4.635 4.635 4.635
angles (deg): 60.00 60.00 60.00
Sites, in units of the cell vectors:
W 0.750 0.750 0.750
W 0.250 0.250 0.250
Mg 0.000 0.000 0.000
Sn 0.500 0.500 0.500

=====

No. 2
Material: MgSn3W
Method: DFT, PBE-GGA
State: optimized geometry

## Properties
Total DFT energy (no corrections) ... -19.18 eV per formula unit
Energy above the most stable polymorph in this dataset ... 5.159 eV/f.u.
Energy of formation from the pure elements ... 1.48 eV/atom
Magnetic moment ... 3.88 μB per formula unit

a b c (Å): 5.249 5.249 5.249
angles (deg): 90.00 90.00 90.00
Each line ends with the local moment (μB).
Sites, in units of the cell vectors:
Sn 0.500 0.000 0.000  -0.04
Sn 0.000 0.000 0.500  0.00
Sn 0.000 0.500 0.000  -0.04
Mg 0.000 0.000 0.000  0.01
W 0.500 0.500 0.500  2.99